Entry 1:
The following is a DFT calculation (PBE) of crystalline Cu2PPt at its relaxed geometry.

CIF file:
```
data_Cu2PPt
_symmetry_space_group_name_H-M 'P 1'
_symmetry_Int_Tables_number 1
_symmetry_space_group_name_Hall 'P 1'
_cell_length_a 4.884
_cell_length_b 4.884
_cell_length_c 4.884
_cell_angle_alpha 140.26
_cell_angle_beta 131.95
_cell_angle_gamma 64.06
loop_
_atom_site_label
_atom_site_type_symbol
_atom_site_fract_x
_atom_site_fract_y
_atom_site_fract_z
Cu1 Cu 0.000 0.000 0.000
Cu2 Cu 0.701 0.201 0.500
P1 P 0.222 0.722 0.500
Pt1 Pt 0.428 0.428 0.000
```

Properties
Density (g cm⁻³): 10.73
E_tot (Ry/atom): -0.36500
DFT formation energy (eV per atom): -0.0553
N(E_F) (states/eV/atom): 0.307
Polymorph energy (0 for the lowest one) (meV per atom): 37

***

Entry 2:
The following is a DFT calculation (PBE) of crystalline Rb2TlAsI6 at its relaxed geometry.

CIF file:
```
data_Rb2TlAsI6
_symmetry_space_group_name_H-M 'P 1'
_symmetry_Int_Tables_number 1
_symmetry_space_group_name_Hall 'P 1'
_cell_length_a 8.441
_cell_length_b 8.869
_cell_length_c 14.817
_cell_angle_alpha 90.00
_cell_angle_beta 124.57
_cell_angle_gamma 90.00
loop_
_atom_site_label
_atom_site_type_symbol
_atom_site_fract_x
_atom_site_fract_y
_atom_site_fract_z
Rb1 Rb 0.222 0.079 0.248
Rb2 Rb 0.222 0.421 0.748
Rb3 Rb 0.778 0.579 0.252
Rb4 Rb 0.778 0.921 0.752
Tl1 Tl 0.500 0.000 0.000
Tl2 Tl 0.500 0.500 0.500
As1 As 0.000 0.000 0.500
As2 As 0.000 0.500 0.000
I1 I 0.128 0.223 0.955
I2 I 0.128 0.277 0.455
I3 I 0.234 0.677 0.953
I4 I 0.234 0.823 0.453
I5 I 0.321 0.016 0.728
I6 I 0.321 0.484 0.228
I7 I 0.679 0.516 0.772
I8 I 0.679 0.984 0.272
I9 I 0.766 0.177 0.547
I10 I 0.766 0.323 0.047
I11 I 0.872 0.723 0.545
I12 I 0.872 0.777 0.045
```

Properties
Formation energy without anion corrections (eV/atom): -0.80
Density (g cm⁻³): 4.41
E_tot (Ry/atom): -0.19286
Polymorph energy (0 for the lowest one) (meV per atom): 0

***

Entry 3:
The following is a DFT calculation (PBE) of crystalline Ac2ErGe at its relaxed geometry.

CIF file:
```
data_Ac2ErGe
_symmetry_space_group_name_H-M 'P 1'
_symmetry_Int_Tables_number 1
_symmetry_space_group_name_Hall 'P 1'
_cell_length_a 11.880
_cell_length_b 11.880
_cell_length_c 11.880
_cell_angle_alpha 18.78
_cell_angle_beta 18.78
_cell_angle_gamma 18.78
loop_
_atom_site_label
_atom_site_type_symbol
_atom_site_fract_x
_atom_site_fract_y
_atom_site_fract_z
Ac1 Ac 0.104 0.104 0.104
Ac2 Ac 0.896 0.896 0.896
Er1 Er 0.000 0.000 0.000
Ge1 Ge 0.500 0.500 0.500
```

Properties
Density (g cm⁻³): 7.59
E_tot (Ry/atom): -0.31064
DFT formation energy (eV per atom): 0.1228
N(E_F) (states/eV/atom): 1.634
Polymorph energy (0 for the lowest one) (meV per atom): 298

***

Entry 4:
The following is a DFT calculation (PBE) of crystalline MgTl2CdAg at its relaxed geometry.

CIF file:
```
data_MgTl2CdAg
_symmetry_space_group_name_H-M 'P 1'
_symmetry_Int_Tables_number 1
_symmetry_space_group_name_Hall 'P 1'
_cell_length_a 5.609
_cell_length_b 5.609
_cell_length_c 5.355
_cell_angle_alpha 90.00
_cell_angle_beta 90.00
_cell_angle_gamma 90.00
loop_
_atom_site_label
_atom_site_type_symbol
_atom_site_fract_x
_atom_site_fract_y
_atom_site_fract_z
Mg1 Mg 0.000 0.000 0.000
Tl1 Tl 0.000 0.500 0.500
Tl2 Tl 0.500 0.000 0.500
Cd1 Cd 0.000 0.000 0.500
Ag1 Ag 0.500 0.500 0.000
```

Properties
Density (g cm⁻³): 6.44
E_tot (Ry/atom): -0.11386
DFT formation energy (eV per atom): 0.4695
N(E_F) (states/eV/atom): 0.653

***

Entry 5:
The following is a DFT calculation (PBE) of crystalline Sr6CaCd at its relaxed geometry.

CIF file:
```
data_Sr6CaCd
_symmetry_space_group_name_H-M 'P 1'
_symmetry_Int_Tables_number 1
_symmetry_space_group_name_Hall 'P 1'
_cell_length_a 11.258
_cell_length_b 11.258
_cell_length_c 11.258
_cell_angle_alpha 149.01
_cell_angle_beta 149.01
_cell_angle_gamma 44.40
loop_
_atom_site_label
_atom_site_type_symbol
_atom_site_fract_x
_atom_site_fract_y
_atom_site_fract_z
Sr1 Sr 0.105 0.605 0.500
Sr2 Sr 0.246 0.246 0.000
Sr3 Sr 0.395 0.895 0.500
Sr4 Sr 0.605 0.105 0.500
Sr5 Sr 0.754 0.754 0.000
Sr6 Sr 0.895 0.395 0.500
Ca1 Ca 0.000 0.000 0.000
Cd1 Cd 0.500 0.500 0.000
```

Properties
Density (g cm⁻³): 2.99
E_tot (Ry/atom): -0.12203
DFT formation energy (eV per atom): -0.0344
N(E_F) (states/eV/atom): 1.363

***

Entry 6:
The following is a DFT calculation (PBE) of crystalline MgTl15Pb4 at its relaxed geometry.

CIF file:
```
data_MgTl15Pb4
_symmetry_space_group_name_H-M 'P 1'
_symmetry_Int_Tables_number 1
_symmetry_space_group_name_Hall 'P 1'
_cell_length_a 5.278
_cell_length_b 5.278
_cell_length_c 21.661
_cell_angle_alpha 90.00
_cell_angle_beta 90.00
_cell_angle_gamma 90.00
loop_
_atom_site_label
_atom_site_type_symbol
_atom_site_fract_x
_atom_site_fract_y
_atom_site_fract_z
Mg1 Mg 0.000 0.000 0.000
Tl1 Tl 0.000 0.500 0.091
Tl2 Tl 0.000 0.500 0.294
Tl3 Tl 0.000 0.500 0.500
Tl4 Tl 0.000 0.500 0.706
Tl5 Tl 0.000 0.500 0.909
Tl6 Tl 0.500 0.000 0.091
Tl7 Tl 0.500 0.000 0.294
Tl8 Tl 0.500 0.000 0.500
Tl9 Tl 0.500 0.000 0.706
Tl10 Tl 0.500 0.000 0.909
Tl11 Tl 0.500 0.500 0.000
Tl12 Tl 0.500 0.500 0.192
Tl13 Tl 0.500 0.500 0.398
Tl14 Tl 0.500 0.500 0.602
Tl15 Tl 0.500 0.500 0.808
Pb1 Pb 0.000 0.000 0.191
Pb2 Pb 0.000 0.000 0.396
Pb3 Pb 0.000 0.000 0.604
Pb4 Pb 0.000 0.000 0.809
```

Properties
Density (g cm⁻³): 10.78
E_tot (Ry/atom): -0.18983
DFT formation energy (eV per atom): 0.0134
N(E_F) (states/eV/atom): 0.565

***

Entry 7:
The following is a DFT calculation (PBE) of crystalline NaPmSn2S4 at its relaxed geometry.

CIF file:
```
data_NaPmSn2S4
_symmetry_space_group_name_H-M 'P 1'
_symmetry_Int_Tables_number 1
_symmetry_space_group_name_Hall 'P 1'
_cell_length_a 7.028
_cell_length_b 4.110
_cell_length_c 7.208
_cell_angle_alpha 90.00
_cell_angle_beta 108.53
_cell_angle_gamma 90.00
loop_
_atom_site_label
_atom_site_type_symbol
_atom_site_fract_x
_atom_site_fract_y
_atom_site_fract_z
Na1 Na 0.000 0.000 0.000
Pm1 Pm 0.500 0.500 0.000
Sn1 Sn 0.000 0.500 0.500
Sn2 Sn 0.500 0.000 0.500
S1 S 0.259 0.500 0.246
S2 S 0.261 0.000 0.762
S3 S 0.739 0.000 0.238
S4 S 0.741 0.500 0.754
```

Properties
Formation energy without anion corrections (eV/atom): -1.05
Density (g cm⁻³): 4.49
E_tot (Ry/atom): -0.35830

***

Entry 8:
The following is a DFT calculation (PBE) of crystalline YCd at its relaxed geometry.

CIF file:
```
data_YCd
_symmetry_space_group_name_H-M 'P 1'
_symmetry_Int_Tables_number 1
_symmetry_space_group_name_Hall 'P 1'
_cell_length_a 6.672
_cell_length_b 6.672
_cell_length_c 7.157
_cell_angle_alpha 105.57
_cell_angle_beta 105.57
_cell_angle_gamma 31.64
loop_
_atom_site_label
_atom_site_type_symbol
_atom_site_fract_x
_atom_site_fract_y
_atom_site_fract_z
Y1 Y 0.000 0.000 0.000
Y2 Y 0.016 0.016 0.513
Y3 Y 0.308 0.308 0.649
Cd1 Cd 0.336 0.336 0.174
Cd2 Cd 0.673 0.673 0.868
Cd3 Cd 0.674 0.674 0.301
```

Properties
Density (g cm⁻³): 6.25
E_tot (Ry/atom): -0.28735
DFT formation energy (eV per atom): -0.2199
N(E_F) (states/eV/atom): 1.025

***

Entry 9:
The following is a DFT calculation (PBE) of crystalline La5Sm2DyY at its relaxed geometry.

CIF file:
```
data_La5Sm2DyY
_symmetry_space_group_name_H-M 'P 1'
_symmetry_Int_Tables_number 1
_symmetry_space_group_name_Hall 'P 1'
_cell_length_a 10.458
_cell_length_b 10.458
_cell_length_c 10.458
_cell_angle_alpha 130.56
_cell_angle_beta 130.56
_cell_angle_gamma 72.52
loop_
_atom_site_label
_atom_site_type_symbol
_atom_site_fract_x
_atom_site_fract_y
_atom_site_fract_z
La1 La 0.000 0.000 0.000
La2 La 0.074 0.574 0.933
La3 La 0.140 0.074 0.500
La4 La 0.360 0.860 0.933
La5 La 0.426 0.360 0.500
La6 La 0.500 0.500 0.000
La7 La 0.574 0.640 0.500
La8 La 0.640 0.140 0.067
La9 La 0.860 0.926 0.500
La10 La 0.926 0.426 0.067
Sm1 Sm 0.121 0.379 0.500
Sm2 Sm 0.379 0.879 0.258
Sm3 Sm 0.621 0.121 0.742
Sm4 Sm 0.879 0.621 0.500
Dy1 Dy 0.250 0.250 0.000
Dy2 Dy 0.750 0.750 0.000
Y1 Y 0.250 0.750 0.500
Y2 Y 0.750 0.250 0.500
```

Properties
Density (g cm⁻³): 6.42
E_tot (Ry/atom): -0.34813
DFT formation energy (eV per atom): 0.2792
N(E_F) (states/eV/atom): 1.942